Entry 1:
The following is a PBE calculation of a relaxed structure of Ca2LaAl2, from the Alexandria database.

The space group is I4/mmm (No. 139) and the conventional cell measures 4.893, 4.893 and 13.008 Å, with angles of 90.00, 90.00 and 90.00 degrees. The distinct sites, in fractional coordinates, are Ca at (0.000, 0.000, 0.124), La at (0.000, 0.000, 0.500) and Al at (0.000, 0.500, 0.250).

The mass density is 2.9 g/cm³. Its formation energy is 0.197 eV per atom. Its energy above the lowest structure with this stoichiometry is 0.3198 eV/atom.

Entry 2:
The following is a PBE calculation of a relaxed structure of CaLaAl2, from the Alexandria database.

The space group is I-42d (No. 122) and the conventional cell measures 8.371, 8.371 and 6.780 Å, with angles of 90.00, 90.00 and 90.00 degrees. The distinct sites, in fractional coordinates, are Ca at (0.000, 0.000, 0.000), La at (0.000, 0.000, 0.500) and Al at (0.244, 0.250, 0.125).

The mass density is 3.3 g/cm³. Its formation energy is 0.156 eV per atom.